Th2TcGe3Ir4, optimized geometry, DFT PBE; energy relative to the elements = -0.699 eV per atom
1.0
4.2333 0.0000 0.0000
0.0000 4.2333 0.0000
0.0000 0.0000 10.4591
Ir Th Ge Tc
4 2 3 1
direct
0.0000 0.0000 0.0000 Ir
0.0000 0.5000 0.3686 Ir
0.5000 0.5000 0.0000 Ir
0.5000 0.0000 0.6314 Ir
0.0000 0.5000 0.7540 Th
0.5000 0.0000 0.2460 Th
0.0000 0.0000 0.5000 Ge
0.0000 0.5000 0.1321 Ge
0.5000 0.0000 0.8679 Ge
0.5000 0.5000 0.5000 Tc